one.
# ZrAs3W, optimized geometry, DFT PBE
data_ZrAs3W
_cell_length_a 4.873
_cell_length_b 4.873
_cell_length_c 4.873
_cell_angle_alpha 90.00
_cell_angle_beta 90.00
_cell_angle_gamma 90.00
_symmetry_space_group_name_H-M 'P m -3 m'
_symmetry_Int_Tables_number 221
_symmetry_space_group_name_Hall '-P 4 2 3'
loop_
_atom_site_label
_atom_site_fract_x
_atom_site_fract_y
_atom_site_fract_z
Zr1 0.000 0.000 0.000
As1 0.000 0.500 0.500
W1 0.500 0.500 0.500
# Magnetization ... 1.36 μB/cell


two.
# ZrAs3W, optimized geometry, DFT PBE
data_ZrAs3W
_cell_length_a 5.032
_cell_length_b 5.032
_cell_length_c 5.032
_cell_angle_alpha 90.00
_cell_angle_beta 90.00
_cell_angle_gamma 90.00
_symmetry_space_group_name_H-M 'P m -3 m'
_symmetry_Int_Tables_number 221
_symmetry_space_group_name_Hall '-P 4 2 3'
loop_
_atom_site_label
_atom_site_fract_x
_atom_site_fract_y
_atom_site_fract_z
Zr1 0.000 0.000 0.000
As1 0.000 0.000 0.500
W1 0.500 0.500 0.500
# Magnetization ... 0.00 μB/cell


Pick one: it beats the second-best structure by 83.9 kJ/mol of atoms.